(1)
{
  "formula": "KCaPt",
  "functional": "PBE",
  "state": "relaxed",
  "sg": "F-43m (216)",
  "energy_ev_per_cell": -8.1,
  "vol_a3_per_atom": 29.775,
  "dos_ef_per_ev_cell": 3.958,
  "ef_mev_per_atom": 345,
  "cell": [[-4.935, -0.081, 0.904], [-2.714, -4.032, -1.248], [-1.846, -2.989, 3.582]],
  "species": ["Ca", "K", "Pt"],
  "frac_coords": [[0.500, 0.500, 0.500], [0.750, 0.750, 0.750], [0.000, 0.000, 0.000]]
}

---

(2)
{
  "formula": "MgSnS4",
  "functional": "PBE",
  "state": "relaxed",
  "sg": "C2/m (12)",
  "energy_ev_per_cell": -24.1,
  "formation_energy_uncorrected_mev_per_atom": -328,
  "vol_a3_per_atom": 21.250,
  "dos_ef_per_ev_cell": 4.024,
  "cell": [[3.673, 0.000, 0.000], [-1.836, 5.579, 0.136], [0.000, -2.783, 6.155]],
  "species": ["Mg", "Sn", "S", "S", "S", "S"],
  "frac_coords": [[0.000, 0.000, 0.000], [0.500, 0.000, 0.500], [0.364, 0.727, 0.097], [0.136, 0.271, 0.411], [0.636, 0.273, 0.903], [0.864, 0.729, 0.589]]
}

---

(3)
{
  "formula": "Tl2CrRe",
  "functional": "PBE",
  "state": "relaxed",
  "sg": "P2/m (10)",
  "energy_ev_per_cell": -22.8,
  "vol_a3_per_atom": 19.267,
  "polymorph_energy_mev_per_atom": 477,
  "dos_ef_per_ev_cell": 3.930,
  "ef_mev_per_atom": 993,
  "cell": [[3.142, 0.000, 0.000], [0.000, 5.338, 0.007], [0.000, 3.565, 4.599]],
  "species": ["Cr", "Re", "Tl", "Tl"],
  "frac_coords": [[0.500, 0.500, 0.500], [0.000, 0.000, 0.500], [0.000, 0.000, 0.000], [0.500, 0.500, 0.000]]
}

---

(4)
{
  "formula": "NdDy5Sb4",
  "functional": "PBE",
  "state": "relaxed",
  "sg": "C2/m (12)",
  "energy_ev_per_cell": -51.5,
  "formation_energy_uncorrected_mev_per_atom": -725,
  "vol_a3_per_atom": 33.290,
  "dos_ef_per_ev_cell": 5.514,
  "cell": [[4.342, 0.000, 0.000], [0.000, 8.476, -0.673], [-2.171, -1.918, 9.198]],
  "species": ["Nd", "Dy", "Dy", "Dy", "Dy", "Dy", "Sb", "Sb", "Sb", "Sb"],
  "frac_coords": [[0.500, 0.000, 0.000], [0.822, 0.651, 0.643], [0.839, 0.174, 0.678], [0.161, 0.826, 0.322], [0.500, 0.500, 0.000], [0.178, 0.349, 0.357], [0.327, 0.909, 0.654], [0.990, 0.735, 0.980], [0.673, 0.091, 0.346], [0.010, 0.265, 0.020]]
}

---

(5)
{
  "formula": "OsSF3",
  "functional": "PBE",
  "state": "relaxed",
  "sg": "Pm-3m (221)",
  "energy_ev_per_cell": -17.2,
  "formation_energy_uncorrected_mev_per_atom": 746,
  "vol_a3_per_atom": 16.189,
  "polymorph_energy_mev_per_atom": 801,
  "dos_ef_per_ev_cell": 2.597,
  "cell": [[-1.795, -3.390, -2.000], [2.908, 0.339, -3.185], [2.652, -2.666, 2.138]],
  "species": ["S", "Os", "F", "F", "F"],
  "frac_coords": [[0.000, 0.000, 0.000], [0.500, 0.500, 0.500], [0.000, 0.500, 0.000], [0.000, 0.000, 0.500], [0.500, 0.000, 0.000]]
}

---

(6)
{
  "formula": "Ba2Li12CdAg3",
  "functional": "PBE",
  "state": "relaxed",
  "sg": "R-3m (166)",
  "energy_ev_per_cell": -36.6,
  "vol_a3_per_atom": 23.196,
  "dos_ef_per_ev_cell": 7.204,
  "ef_mev_per_atom": -18,
  "cell": [[7.233, -1.635, -1.160], [2.150, 7.097, -1.160], [2.150, 1.252, 7.081]],
  "species": ["Ba", "Ba", "Li", "Li", "Li", "Li", "Li", "Li", "Li", "Li", "Li", "Li", "Li", "Li", "Cd", "Ag", "Ag", "Ag"],
  "frac_coords": [[0.745, 0.745, 0.745], [0.255, 0.255, 0.255], [0.414, 0.414, 0.845], [0.814, 0.814, 0.272], [0.272, 0.814, 0.814], [0.845, 0.414, 0.414], [0.814, 0.272, 0.814], [0.414, 0.845, 0.414], [0.586, 0.586, 0.155], [0.186, 0.186, 0.728], [0.728, 0.186, 0.186], [0.155, 0.586, 0.586], [0.186, 0.728, 0.186], [0.586, 0.155, 0.586], [0.000, 0.000, 0.000], [0.500, 0.000, 0.000], [0.000, 0.500, 0.000], [0.000, 0.000, 0.500]]
}